Density functional theory data (GGA-PBE) for a relaxed structure of MnSnSb2I.

Cell and atoms, written as CIF:
```
data_MnSnSb2I
_cell_length_a 5.0972
_cell_length_b 5.0972
_cell_length_c 5.8098
_cell_angle_alpha 90.00
_cell_angle_beta 90.00
_cell_angle_gamma 90.00
_space_group_name_H-M_alt 'P 4/m m m'
_space_group_IT_number 123
_space_group_name_Hall '-P 4 2'
loop_
_atom_site_label
_atom_site_fract_x
_atom_site_fract_y
_atom_site_fract_z
Mn1 0.0000 0.0000 0.0000
Sn1 0.5000 0.5000 0.5000
Sb1 0.0000 0.5000 0.0000
I1 0.0000 0.0000 0.5000
```

volume: 150.9 Å³/cell
uncorrected formation energy: 0.3642 eV/atom